Entry 1:
Material: ZnSiIr3
Method: DFT, PBE-GGA
State: relaxed

The structure in CIF format:
```
data_ZnSiIr3
_cell_length_a 4.4129
_cell_length_b 4.4129
_cell_length_c 4.4129
_cell_angle_alpha 90.00
_cell_angle_beta 90.00
_cell_angle_gamma 90.00
_symmetry_space_group_name_H-M 'P 1'
_symmetry_Int_Tables_number 1
_symmetry_space_group_name_Hall 'P 1'
loop_
_atom_site_label
_atom_site_fract_x
_atom_site_fract_y
_atom_site_fract_z
_atom_site_occupancy
Zn1 0.0000 0.0000 0.0000 1
Si1 0.5000 0.5000 0.5000 1
Ir1 0.0000 0.5000 0.5000 1
Ir2 0.5000 0.0000 0.5000 1
Ir3 0.5000 0.5000 0.0000 1
```

- SG: No. 221
- Electronic total energy: -30.4 eV per formula unit
- N(E_F): 5.5 states/eV/cell

Entry 2:
Material: Be4Ag
Method: DFT, PBE-GGA
State: relaxed

The structure in CIF format:
```
data_Be4Ag
_cell_length_a 4.5110
_cell_length_b 4.5110
_cell_length_c 4.5110
_cell_angle_alpha 109.47
_cell_angle_beta 109.47
_cell_angle_gamma 109.47
_symmetry_space_group_name_H-M 'P 1'
_symmetry_Int_Tables_number 1
_symmetry_space_group_name_Hall 'P 1'
loop_
_atom_site_label
_atom_site_fract_x
_atom_site_fract_y
_atom_site_fract_z
_atom_site_occupancy
Be1 0.0000 0.0000 0.5000 1
Be2 0.0000 0.5000 0.0000 1
Be3 0.5000 0.0000 0.0000 1
Be4 0.5000 0.5000 0.5000 1
Ag1 0.0000 0.0000 0.0000 1
```

- SG: No. 229
- N(E_F): 1.2 states/eV/cell
- Energy of formation from the pure elements: 0.82 eV/atom